Here is crystalline Rb2CrCuO4 at its relaxed geometry from Alexandria. Energies are from GGA+U.

Cell and atoms, written as POSCAR:
```
Rb2CrCuO4
1.0
5.995 0.000 0.000
0.000 5.995 0.000
0.000 0.000 7.490
Rb Cr Cu O
4 2 2 8
direct
0.000 0.000 0.000
0.000 0.500 0.250
0.500 0.000 0.750
0.500 0.500 0.500
0.000 0.500 0.750
0.500 0.000 0.250
0.000 0.000 0.500
0.500 0.500 0.000
0.109 0.724 0.621
0.224 0.391 0.879
0.276 0.109 0.379
0.391 0.776 0.121
0.609 0.224 0.121
0.724 0.891 0.379
0.776 0.609 0.879
0.891 0.276 0.621
```

Calculated values
energy = -88.0 eV for the cell shown
calculated volume = 134.61 Å³/f.u.
spin magnetization = 2.000 μB/cell
symmetry = I-4, No. 82